First-principles (GGA+U) data for a relaxed structure of V3Zn7H3SO19, as listed in Alexandria via LeMat-Bulk.

Calculated values
- Symmetry: P6_3mc
- VASP energy: -5.75 eV/atom

Cell and atoms, written as POSCAR:
```
V3Zn7H3SO19
1.0
12.9728 0.0000 0.0000
-6.4864 11.2347 0.0000
0.0000 0.0000 5.2630
V Zn H S O
6 14 6 2 38
Direct
0.1509 0.3017 0.0000
0.1509 0.8491 0.0000
0.3017 0.1509 0.5000
0.6983 0.8491 0.0000
0.8491 0.1509 0.5000
0.8491 0.6983 0.5000
0.0000 0.0000 0.2887
0.0000 0.0000 0.7887
0.0801 0.4252 0.4774
0.0801 0.6549 0.4774
0.3451 0.4252 0.4774
0.3451 0.9199 0.4774
0.4252 0.0801 0.9774
0.4252 0.3451 0.9774
0.5748 0.6549 0.4774
0.5748 0.9199 0.4774
0.6549 0.0801 0.9774
0.6549 0.5748 0.9774
0.9199 0.3451 0.9774
0.9199 0.5748 0.9774
0.1299 0.5649 0.1027
0.4351 0.5649 0.1027
0.4351 0.8701 0.1027
0.5649 0.1299 0.6027
0.5649 0.4351 0.6027
0.8701 0.4351 0.6027
0.3333 0.6667 0.7224
0.6667 0.3333 0.2224
0.0565 0.5282 0.2039
0.0675 0.3477 0.8213
0.0675 0.7198 0.8213
0.0740 0.1480 0.0383
0.0740 0.9260 0.0383
0.1480 0.0740 0.5383
0.1908 0.3815 0.2904
0.1908 0.8092 0.2904
0.2082 0.6041 0.6193
0.2802 0.3477 0.8213
0.2802 0.9325 0.8213
0.3333 0.6667 0.9997
0.3477 0.0675 0.3213
0.3477 0.2802 0.3213
0.3815 0.1908 0.7904
0.3959 0.6041 0.6193
0.3959 0.7918 0.6193
0.4718 0.5282 0.2039
0.4718 0.9435 0.2039
0.5282 0.0565 0.7039
0.5282 0.4718 0.7039
0.6041 0.2082 0.1193
0.6041 0.3959 0.1193
0.6185 0.8092 0.2904
0.6523 0.7198 0.8213
0.6523 0.9325 0.8213
0.6667 0.3333 0.4997
0.7198 0.0675 0.3213
0.7198 0.6523 0.3213
0.7918 0.3959 0.1193
0.8092 0.1908 0.7904
0.8092 0.6185 0.7904
0.8520 0.9260 0.0383
0.9260 0.0740 0.5383
0.9260 0.8520 0.5383
0.9325 0.2802 0.3213
0.9325 0.6523 0.3213
0.9435 0.4718 0.7039
```